Cs2CoH8C4O12, optimized geometry, DFT PBE with a Hubbard U; total DFT energy (no corrections) = -6.02 eV/atom
1.0
8.150 -3.569 0.000
8.150 3.569 0.000
-8.044 0.000 10.560
C O H Cs Co
8 24 16 4 2
direct
0.685 0.056 0.500
0.079 0.241 0.925
0.315 0.944 0.500
0.921 0.759 0.075
0.759 0.921 0.575
0.056 0.685 0.000
0.944 0.315 0.000
0.241 0.079 0.425
0.135 0.801 0.848
0.582 0.633 0.779
0.962 0.699 0.888
0.633 0.582 0.279
0.801 0.135 0.348
0.379 0.747 0.443
0.301 0.038 0.612
0.199 0.865 0.652
0.018 0.766 0.192
0.038 0.301 0.112
0.766 0.018 0.692
0.982 0.234 0.808
0.367 0.418 0.721
0.270 0.189 0.979
0.621 0.253 0.557
0.865 0.199 0.152
0.234 0.982 0.308
0.811 0.730 0.521
0.418 0.367 0.221
0.747 0.379 0.943
0.253 0.621 0.057
0.699 0.962 0.388
0.730 0.811 0.021
0.189 0.270 0.479
0.732 0.426 0.239
0.753 0.083 0.368
0.291 0.365 0.632
0.115 0.997 0.711
0.426 0.732 0.739
0.003 0.885 0.789
0.917 0.247 0.132
0.083 0.753 0.868
0.247 0.917 0.632
0.365 0.291 0.132
0.635 0.709 0.868
0.997 0.115 0.211
0.268 0.574 0.761
0.709 0.635 0.368
0.574 0.268 0.261
0.885 0.003 0.289
0.842 0.464 0.611
0.158 0.536 0.389
0.536 0.158 0.889
0.464 0.842 0.111
0.659 0.341 0.750
0.341 0.659 0.250